[1]
Density functional theory data (GGA-PBE) for BaAlTl after structural relaxation.

Cell and atoms, written as CIF:
```
data_BaAlTl
_chemical_formula_sum 'Ba2 Al2 Tl2'
_symmetry_space_group_name_H-M 'P 63/m m c'
_symmetry_Int_Tables_number 194
_symmetry_space_group_name_Hall '-P 6c 2c'
_cell_length_a 5.9020
_cell_length_b 5.9020
_cell_length_c 10.4347
_cell_angle_alpha 90.00
_cell_angle_beta 90.00
_cell_angle_gamma 120.00
loop_
_atom_site_label
_atom_site_type_symbol
_atom_site_fract_x
_atom_site_fract_y
_atom_site_fract_z
Ba1 Ba 0.3333 0.6667 0.2500
Al1 Al 0.0000 0.0000 0.2500
Tl1 Tl 0.0000 0.0000 0.0000
```

Calculated values
VASP energy, eV/cell: -14.266
V, Å³/cell: 314.8

---

[2]
Density functional theory data (GGA-PBE) for BaAlTl2 after structural relaxation.

Cell and atoms, written as CIF:
```
data_BaAlTl2
_chemical_formula_sum 'Ba1 Al1 Tl2'
_symmetry_space_group_name_H-M 'P m m m'
_symmetry_Int_Tables_number 47
_cell_length_a 3.885
_cell_length_b 3.943
_cell_length_c 7.900
_cell_angle_alpha 90.00
_cell_angle_beta 90.00
_cell_angle_gamma 90.00
loop_
_symmetry_equiv_pos_as_xyz
'x,y,z'
'-x,-y,-z'
'-x,-y,z'
'x,y,-z'
'x,-y,-z'
'-x,y,z'
'-x,y,-z'
'x,-y,z'
loop_
_atom_site_label
_atom_site_type_symbol
_atom_site_fract_x
_atom_site_fract_y
_atom_site_fract_z
Ba1 Ba 0.000 0.000 0.000
Al1 Al 0.000 0.000 0.500
Tl1 Tl 0.500 0.500 0.300
```

Calculated values
VASP energy, eV/cell: -10.804
V, Å³/cell: 121.0

---

[3]
Density functional theory data (GGA-PBE) for BaAl2Tl after structural relaxation.

Cell and atoms, written as CIF:
```
data_BaAl2Tl
_chemical_formula_sum 'Ba1 Al2 Tl1'
_symmetry_space_group_name_H-M 'P 4/m m m'
_symmetry_Int_Tables_number 123
_symmetry_space_group_name_Hall '-P 4 2'
_cell_length_a 3.915
_cell_length_b 3.915
_cell_length_c 7.534
_cell_angle_alpha 90.00
_cell_angle_beta 90.00
_cell_angle_gamma 90.00
loop_
_atom_site_label
_atom_site_type_symbol
_atom_site_fract_x
_atom_site_fract_y
_atom_site_fract_z
Ba1 Ba 0.000 0.000 0.000
Al1 Al 0.500 0.500 0.319
Tl1 Tl 0.000 0.000 0.500
```

Calculated values
Energy above the most stable polymorph in this dataset, eV per atom: 0.204
VASP energy, eV/cell: -11.708
V, Å³/cell: 115.4

---

[4]
Density functional theory data (GGA-PBE) for BaAlTl2 after structural relaxation.

Cell and atoms, written as CIF:
```
data_BaAlTl2
_chemical_formula_sum 'Ba4 Al4 Tl8'
_symmetry_space_group_name_H-M 'F m -3 m'
_symmetry_Int_Tables_number 225
_symmetry_space_group_name_Hall '-F 4 2 3'
_cell_length_a 7.897
_cell_length_b 7.897
_cell_length_c 7.897
_cell_angle_alpha 90.00
_cell_angle_beta 90.00
_cell_angle_gamma 90.00
loop_
_atom_site_label
_atom_site_type_symbol
_atom_site_fract_x
_atom_site_fract_y
_atom_site_fract_z
Ba1 Ba 0.000 0.000 0.000
Al1 Al 0.000 0.000 0.500
Tl1 Tl 0.250 0.250 0.250
```

Calculated values
VASP energy, eV/cell: -43.423
V, Å³/cell: 492.4

---

[5]
Density functional theory data (GGA-PBE) for BaAlTl2 after structural relaxation.

Cell and atoms, written as CIF:
```
data_BaAlTl2
_chemical_formula_sum 'Ba2 Al2 Tl4'
_symmetry_space_group_name_H-M 'C 1 m 1'
_symmetry_Int_Tables_number 8
_cell_length_a 8.432
_cell_length_b 4.873
_cell_length_c 7.037
_cell_angle_alpha 90.00
_cell_angle_beta 113.65
_cell_angle_gamma 90.00
loop_
_symmetry_equiv_pos_as_xyz
'x,y,z'
'x,-y,z'
'x+1/2,y+1/2,z'
'x+1/2,-y+1/2,z'
loop_
_atom_site_label
_atom_site_type_symbol
_atom_site_fract_x
_atom_site_fract_y
_atom_site_fract_z
Ba1 Ba 0.000 0.000 0.000
Al1 Al 0.305 0.500 0.414
Tl1 Tl 0.217 0.000 0.647
Tl2 Tl 0.446 0.000 0.335
```

Calculated values
VASP energy, eV/cell: -22.133
V, Å³/cell: 264.9

---

[6]
Density functional theory data (GGA-PBE) for BaAlTl2 after structural relaxation.

Cell and atoms, written as CIF:
```
data_BaAlTl2
_chemical_formula_sum 'Ba1 Al1 Tl2'
_symmetry_space_group_name_H-M 'P 1 2/m 1'
_symmetry_Int_Tables_number 10
_cell_length_a 3.863
_cell_length_b 4.786
_cell_length_c 7.054
_cell_angle_alpha 90.00
_cell_angle_beta 101.71
_cell_angle_gamma 90.00
loop_
_symmetry_equiv_pos_as_xyz
'x,y,z'
'-x,-y,-z'
'-x,y,-z'
'x,-y,z'
loop_
_atom_site_label
_atom_site_type_symbol
_atom_site_fract_x
_atom_site_fract_y
_atom_site_fract_z
Ba1 Ba 0.000 0.000 0.000
Al1 Al 0.500 0.000 0.500
Tl1 Tl 0.331 0.500 0.701
```

Calculated values
VASP energy, eV/cell: -10.785
V, Å³/cell: 127.7

---

[7]
Density functional theory data (GGA-PBE) for BaAl2Tl after structural relaxation.

Cell and atoms, written as CIF:
```
data_BaAl2Tl
_chemical_formula_sum 'Ba4 Al8 Tl4'
_symmetry_space_group_name_H-M 'I 41/a m d'
_symmetry_Int_Tables_number 141
_cell_length_a 5.236
_cell_length_b 5.236
_cell_length_c 19.684
_cell_angle_alpha 90.00
_cell_angle_beta 90.00
_cell_angle_gamma 90.00
loop_
_symmetry_equiv_pos_as_xyz
'x,y,z'
'-x,-y,-z'
'-y+1/4,x+3/4,z+1/4'
'y+1/4,-x+3/4,-z+1/4'
'-x+1/2,-y,z+1/2'
'x+1/2,y,-z+1/2'
'y+1/4,-x+1/4,z+3/4'
'-y+1/4,x+1/4,-z+3/4'
'x,-y,-z'
'-x,y,z'
'-y+1/4,-x+1/4,-z+3/4'
'y+1/4,x+1/4,z+3/4'
'-x+1/2,y,-z+1/2'
'x+1/2,-y,z+1/2'
'y+1/4,x+3/4,-z+1/4'
'-y+1/4,-x+3/4,z+1/4'
'x+1/2,y+1/2,z+1/2'
'-x+1/2,-y+1/2,-z+1/2'
'-y+3/4,x+1/4,z+3/4'
'y+3/4,-x+1/4,-z+3/4'
'-x,-y+1/2,z'
'x,y+1/2,-z'
'y+3/4,-x+3/4,z+1/4'
'-y+3/4,x+3/4,-z+1/4'
'x+1/2,-y+1/2,-z+1/2'
'-x+1/2,y+1/2,z+1/2'
'-y+3/4,-x+3/4,-z+1/4'
'y+3/4,x+3/4,z+1/4'
'-x,y+1/2,-z'
'x,-y+1/2,z'
'y+3/4,x+1/4,-z+3/4'
'-y+3/4,-x+1/4,z+3/4'
loop_
_atom_site_label
_atom_site_type_symbol
_atom_site_fract_x
_atom_site_fract_y
_atom_site_fract_z
Ba1 Ba 0.000 0.250 0.375
Al1 Al 0.000 0.000 0.000
Tl1 Tl 0.000 0.250 0.875
```

Calculated values
Energy above the most stable polymorph in this dataset, eV per atom: 0.197
VASP energy, eV/cell: -46.945
V, Å³/cell: 539.7

---

[8]
Density functional theory data (GGA-PBE) for Ba4AlTl after structural relaxation.

Cell and atoms, written as CIF:
```
data_Ba4AlTl
_chemical_formula_sum 'Ba16 Al4 Tl4'
_symmetry_space_group_name_H-M 'F -4 3 m'
_symmetry_Int_Tables_number 216
_symmetry_space_group_name_Hall 'F -4 2 3'
_cell_length_a 10.262
_cell_length_b 10.262
_cell_length_c 10.262
_cell_angle_alpha 90.00
_cell_angle_beta 90.00
_cell_angle_gamma 90.00
loop_
_atom_site_label
_atom_site_type_symbol
_atom_site_fract_x
_atom_site_fract_y
_atom_site_fract_z
Ba1 Ba 0.125 0.125 0.125
Al1 Al 0.000 0.000 0.500
Tl1 Tl 0.250 0.250 0.750
```

Calculated values
Energy above the most stable polymorph in this dataset, eV per atom: 0.607
VASP energy, eV/cell: -45.077
V, Å³/cell: 1080.7